# 1
Compound: RbCdC3
Source: the Alexandria database
Functional: PBE
Structure: optimized geometry

```
RbCdC3
1.0
4.631 0.000 0.000
0.000 4.631 0.000
0.000 0.000 4.631
Rb Cd C
1 1 3
Cartesian
0.000 0.000 0.000
2.316 2.316 2.316
0.000 2.316 2.316
2.316 0.000 2.316
2.316 2.316 0.000
```

## Properties
* electronic total energy: -14.6 eV per cell
* volume: 19.9 A^3/atom
* total magnetization: 4.53 μB per formula unit
* E_form: 2998.5 meV/atom

---

# 2
Compound: Rb3CdC
Source: the Alexandria database
Functional: PBE
Structure: optimized geometry

```
Rb3CdC
1.0
6.166 0.000 0.000
0.000 6.166 0.000
0.000 0.000 6.166
Rb Cd C
3 1 1
Cartesian
0.000 0.000 3.083
0.000 3.083 0.000
3.083 0.000 0.000
3.083 3.083 3.083
0.000 0.000 0.000
```

## Properties
* electronic total energy: -8.6 eV per cell
* volume: 46.9 A^3/atom
* total magnetization: 1.44 μB per formula unit
* E_form: 878.7 meV/atom

---

# 3
Compound: RbCdRu2C
Source: the Alexandria database
Functional: PBE
Structure: optimized geometry

```
RbCdRu2C
1.0
5.083 0.000 0.000
0.000 5.083 0.000
0.000 0.000 7.070
Rb Cd Ru C
1 1 2 1
Cartesian
0.000 0.000 0.000
0.000 0.000 3.535
0.000 2.542 3.535
2.542 0.000 3.535
2.542 2.542 0.000
```

## Properties
* electronic total energy: -15.3 eV per cell
* volume: 36.5 A^3/atom
* total magnetization: 7.19 μB per formula unit
* E_form: 2881.1 meV/atom

---

# 4
Compound: RbCd2CS
Source: the Alexandria database
Functional: PBE
Structure: optimized geometry

```
RbCd2CS
1.0
7.992 0.000 0.000
0.000 7.992 0.000
0.000 0.000 6.372
Rb Cd C S
1 2 1 1
Cartesian
0.000 0.000 0.000
0.000 3.996 0.000
3.996 0.000 0.000
3.996 3.996 3.186
0.000 0.000 3.186
```

## Properties
* electronic total energy: -6.8 eV per cell
* volume: 81.4 A^3/atom
* E_form (uncorrected): 1866.5 meV per atom
* total magnetization: 3.43 μB per formula unit

---

# 5
Compound: CdRe3C
Source: the Alexandria database
Functional: PBE
Structure: optimized geometry

```
CdRe3C
1.0
4.150 0.000 0.000
0.000 4.150 0.000
0.000 0.000 4.150
Cd Re C
1 3 1
Cartesian
0.000 0.000 0.000
0.000 2.075 2.075
2.075 0.000 2.075
2.075 2.075 0.000
2.075 2.075 2.075
```

## Properties
* electronic total energy: -44.7 eV per cell
* volume: 14.3 A^3/atom
* total magnetization: 0.00 μB per formula unit
* E_form: 559.8 meV/atom

---

# 6
Compound: CdReC2
Source: the Alexandria database
Functional: PBE
Structure: optimized geometry

```
CdReC2
1.0
5.028 0.000 0.000
0.000 5.028 0.000
0.000 0.000 9.519
Cd Re C
4 4 8
Cartesian
0.000 0.000 0.000
0.000 2.514 2.380
2.514 0.000 7.139
2.514 2.514 4.759
0.000 0.000 4.759
0.000 2.514 7.139
2.514 0.000 2.380
2.514 2.514 0.000
0.889 1.257 5.949
1.257 3.403 8.329
1.257 4.139 3.570
1.625 1.257 1.190
3.403 3.771 1.190
3.771 0.889 3.570
3.771 1.625 8.329
4.139 3.771 5.949
```

## Properties
* electronic total energy: -113.4 eV per cell
* volume: 15.0 A^3/atom
* total magnetization: 0.00 μB per formula unit
* E_form: 864.8 meV/atom

---

# 7
Compound: CdRe3C
Source: the Alexandria database
Functional: PBE
Structure: optimized geometry

```
CdRe3C
1.0
4.854 0.000 0.000
0.000 4.854 0.000
0.000 0.000 4.854
Cd Re C
1 3 1
Cartesian
0.000 0.000 0.000
0.000 0.000 2.427
0.000 2.427 0.000
2.427 0.000 0.000
2.427 2.427 2.427
```

## Properties
* electronic total energy: -24.6 eV per cell
* volume: 22.9 A^3/atom
* total magnetization: 4.37 μB per formula unit
* E_form: 4581.1 meV/atom

---

# 8
Compound: Cd3ReC
Source: the Alexandria database
Functional: PBE
Structure: optimized geometry

```
Cd3ReC
1.0
4.541 0.000 0.000
0.000 4.541 0.000
0.000 0.000 4.541
Cd Re C
3 1 1
Cartesian
0.000 0.000 2.271
0.000 2.271 0.000
2.271 0.000 0.000
2.271 2.271 2.271
0.000 0.000 0.000
```

## Properties
* electronic total energy: -16.7 eV per cell
* volume: 18.7 A^3/atom
* total magnetization: 3.03 μB per formula unit
* E_form: 1551.3 meV/atom

---

# 9
Compound: Cd3ReC
Source: the Alexandria database
Functional: PBE
Structure: optimized geometry

```
Cd3ReC
1.0
5.227 0.000 0.000
0.000 5.227 0.000
0.000 0.000 5.227
Cd Re C
3 1 1
Cartesian
0.000 0.000 2.614
0.000 2.614 0.000
2.614 0.000 0.000
0.000 0.000 0.000
2.614 2.614 2.614
```

## Properties
* electronic total energy: -12.1 eV per cell
* volume: 28.6 A^3/atom
* total magnetization: 0.00 μB per formula unit
* E_form: 2463.7 meV/atom

---

# 10
Compound: CdRe2RhC
Source: the Alexandria database
Functional: PBE
Structure: optimized geometry

```
CdRe2RhC
1.0
4.715 0.000 0.000
0.000 4.715 0.000
0.000 0.000 5.063
Cd Re Rh C
1 2 1 1
Cartesian
0.000 0.000 0.000
0.000 2.357 2.531
2.357 0.000 2.531
0.000 0.000 2.531
2.357 2.357 0.000
```

## Properties
* electronic total energy: -27.5 eV per cell
* volume: 22.5 A^3/atom
* total magnetization: 2.24 μB per formula unit
* E_form: 2969.8 meV/atom

---

# 11
Compound: Sc2CdReC
Source: the Alexandria database
Functional: PBE
Structure: optimized geometry

```
Sc2CdReC
1.0
4.606 0.000 0.000
0.000 4.606 0.000
0.000 0.000 4.006
Sc Cd Re C
2 1 1 1
Cartesian
0.000 2.303 0.000
2.303 0.000 0.000
0.000 0.000 2.003
2.303 2.303 2.003
2.303 2.303 0.000
```

## Properties
* electronic total energy: -37.0 eV per cell
* volume: 17.0 A^3/atom
* total magnetization: 0.00 μB per formula unit
* E_form: -355.6 meV/atom

---

# 12
Compound: CdReSnC2
Source: the Alexandria database
Functional: PBE
Structure: optimized geometry

```
CdReSnC2
1.0
4.225 0.000 0.000
0.000 4.225 0.000
0.000 0.000 5.306
Cd Re Sn C
1 1 1 2
Cartesian
0.000 0.000 0.000
2.113 2.113 0.000
2.113 2.113 2.653
0.000 2.113 2.653
2.113 0.000 2.653
```

## Properties
* electronic total energy: -21.7 eV per cell
* volume: 18.9 A^3/atom
* total magnetization: 0.00 μB per formula unit
* E_form: 2829.5 meV/atom

---

# 13
Compound: Y2CdReC
Source: the Alexandria database
Functional: PBE
Structure: optimized geometry

```
Y2CdReC
1.0
5.021 0.000 0.000
0.000 5.021 0.000
0.000 0.000 4.003
Y Cd Re C
2 1 1 1
Cartesian
0.000 2.511 0.000
2.511 0.000 0.000
0.000 0.000 2.002
2.511 2.511 2.002
2.511 2.511 0.000
```

## Properties
* electronic total energy: -36.9 eV per cell
* volume: 20.2 A^3/atom
* total magnetization: 0.00 μB per formula unit
* E_form: -285.3 meV/atom

---

# 14
Compound: ZrCdReC2
Source: the Alexandria database
Functional: PBE
Structure: optimized geometry

```
ZrCdReC2
1.0
4.089 0.000 0.000
0.000 4.089 0.000
0.000 0.000 5.488
Zr Cd Re C
1 1 1 2
Cartesian
0.000 0.000 0.000
0.000 0.000 2.744
2.045 2.045 0.000
0.000 2.045 2.744
2.045 0.000 2.744
```

## Properties
* electronic total energy: -25.3 eV per cell
* volume: 18.4 A^3/atom
* total magnetization: 0.00 μB per formula unit
* E_form: 3005.6 meV/atom